Record 1
Entry from the Alexandria database: MgCd2Sb after structural relaxation (GGA-PBEsol).

Output
ρ	6.630	Mg/m³
raw formation energy	-11	kJ/mol of formula units
D(E_F)	1.915	states/eV/f.u.

```
MgCd2Sb
1.0
-2.3421 -0.5750 2.3650
-3.2091 -0.6113 -3.5865
3.9909 -4.9465 0.4675
Sb Mg Cd
1 1 2
Cartesian
-2.7756 -0.5931 -0.6108
0.0000 0.0000 0.0000
1.9955 -2.4733 0.2337
-0.7801 -3.0664 -0.3770
```



Record 2
Entry from the Alexandria database: Mg2CdSb after structural relaxation (GGA-PBEsol).

Output
ρ	5.151	Mg/m³
raw formation energy	-36	kJ/mol of formula units
polymorph energy (0 for the lowest one)	5.6	kJ/mol of atoms
D(E_F)	1.953	states/eV/f.u.

```
Mg2CdSb
1.0
3.3754 0.0000 0.0000
1.6877 2.9232 0.0000
1.6877 0.9744 9.2387
Sb Mg Cd
1 2 1
Cartesian
3.3754 1.9488 4.6193
1.6877 0.9744 2.2275
5.0631 2.9232 7.0112
0.0000 0.0000 0.0000
```



Record 3
Entry from the Alexandria database: Mg2CdSb after structural relaxation (GGA-PBEsol).

Output
ρ	5.294	Mg/m³
raw formation energy	-58	kJ/mol of formula units
polymorph energy (0 for the lowest one)	0.0	kJ/mol of atoms
D(E_F)	1.413	states/eV/f.u.

```
Mg2CdSb
1.0
3.3405 0.0000 0.0000
0.0000 4.0871 0.0000
0.0000 0.0000 6.4967
Sb Mg Cd
1 2 1
Cartesian
1.6702 2.0436 0.0000
0.0000 0.0000 4.8370
0.0000 0.0000 1.6597
1.6702 2.0436 3.2484
```



Record 4
Entry from the Alexandria database: MgCdSb3 after structural relaxation (GGA-PBEsol).

Output
ρ	5.581	Mg/m³
raw formation energy	285	kJ/mol of formula units
D(E_F)	3.938	states/eV/f.u.

```
MgCdSb3
1.0
5.3058 0.0000 0.0000
0.0000 5.3058 0.0000
0.0000 0.0000 5.3058
Sb Mg Cd
3 1 1
Cartesian
0.0000 2.6529 0.0000
0.0000 0.0000 2.6529
2.6529 0.0000 0.0000
0.0000 0.0000 0.0000
2.6529 2.6529 2.6529
```



Record 5
Entry from the Alexandria database: MgCd2Sb after structural relaxation (GGA-PBEsol).

Output
ρ	6.746	Mg/m³
raw formation energy	-4	kJ/mol of formula units
D(E_F)	1.763	states/eV/f.u.

```
MgCd2Sb
1.0
-2.2318 2.2580 1.1058
-3.0857 -3.1832 0.2723
1.6929 -1.1482 5.7611
Sb Mg Cd
1 1 2
Cartesian
-1.8123 -1.0367 3.5696
-2.6587 -0.4626 0.6891
1.2886 -0.8739 4.3850
0.4044 -0.2743 1.3761
```



Record 6
Entry from the Alexandria database: MgCdSb2 after structural relaxation (GGA-PBEsol).

Output
ρ	6.488	Mg/m³
raw formation energy	-8	kJ/mol of formula units
polymorph energy (0 for the lowest one)	6.2	kJ/mol of atoms
D(E_F)	1.741	states/eV/f.u.

```
MgCdSb2
1.0
4.2990 0.0000 0.0000
0.0000 4.3186 0.0000
0.0000 0.0000 5.2416
Sb Mg Cd
2 1 1
Cartesian
0.0000 0.0000 0.0000
2.1495 0.0000 2.6208
0.0000 2.1593 2.6208
2.1495 2.1593 0.0000
```



Record 7
Entry from the Alexandria database: MgCd2Sb after structural relaxation (GGA-PBEsol).

Output
ρ	6.597	Mg/m³
raw formation energy	-11	kJ/mol of formula units
D(E_F)	1.824	states/eV/f.u.

```
MgCd2Sb
1.0
3.4749 0.0155 0.0000
-0.0607 4.8450 0.0000
0.0000 0.0000 5.5448
Sb Mg Cd
1 1 2
Cartesian
1.7071 2.4302 2.7724
0.0000 0.0000 2.7724
0.8579 1.1979 0.0000
2.5562 3.6626 0.0000
```



Record 8
Entry from the Alexandria database: MgCdSb2 after structural relaxation (GGA-PBEsol).

Output
ρ	6.496	Mg/m³
raw formation energy	-6	kJ/mol of formula units
polymorph energy (0 for the lowest one)	6.7	kJ/mol of atoms
D(E_F)	1.794	states/eV/f.u.

```
MgCdSb2
1.0
4.2917 0.0000 0.0000
0.0000 5.1248 0.0000
-2.1459 -2.5624 4.4193
Sb Mg Cd
2 1 1
Cartesian
2.1459 2.5624 2.2067
0.0000 0.0000 2.2126
0.0000 2.5624 0.0000
2.1459 0.0000 0.0000
```